The following is a SCAN calculation of a crystal of CaAgS2 relaxed with PBEsol, from the Alexandria database.

Computed properties:
Space-group type ... No. 166
DFT total energy ... -15.93 eV per atom
Formation energy from raw total energies ... -858 meV/atom
Magnetization ... 0.0 μB/cell
Theoretical density ... 3.37 g/cm³

a b c (Å): 3.970 3.970 7.989
angles (deg): 75.61 75.61 60.00
Positions (direct):
S 0.901 0.901 0.296
S 0.099 0.099 0.704
Ag 0.000 0.000 0.000
Ca 0.500 0.500 0.500



The following is a SCAN calculation of a crystal of CaAgS3 relaxed with PBEsol, from the Alexandria database.

Computed properties:
Space-group type ... No. 221
DFT total energy ... -14.38 eV per atom
Formation energy from raw total energies ... -393 meV/atom
Magnetization ... 0.0 μB/cell
Theoretical density ... 3.74 g/cm³

a b c (Å): 4.770 4.770 4.770
angles (deg): 90.00 90.00 90.00
Positions (direct):
Ag 0.000 0.000 0.000
S 0.500 0.000 0.000
S 0.000 0.500 0.000
S 0.000 0.000 0.500
Ca 0.500 0.500 0.500



The following is a SCAN calculation of a crystal of Ca4AgSb relaxed with PBEsol, from the Alexandria database.

Computed properties:
Space-group type ... No. 216
DFT total energy ... -17.64 eV per atom
Formation energy from raw total energies ... 244 meV/atom
Magnetization ... 0.0 μB/cell
Theoretical density ... 3.46 g/cm³

a b c (Å): 6.422 6.422 6.422
angles (deg): 60.00 60.00 60.00
Positions (direct):
Ag 0.000 0.000 0.000
Ca 0.376 0.873 0.376
Ca 0.376 0.376 0.376
Ca 0.376 0.376 0.873
Ca 0.873 0.376 0.376
Sb 0.750 0.750 0.750



The following is a SCAN calculation of a crystal of CaAgSb2 relaxed with PBEsol, from the Alexandria database.

Computed properties:
Space-group type ... No. 44
DFT total energy ... -29.24 eV per atom
Formation energy from raw total energies ... -352 meV/atom
Magnetization ... 0.0 μB/cell
Theoretical density ... 6.79 g/cm³

a b c (Å): 4.091 4.571 5.966
angles (deg): 112.52 110.05 90.00
Positions (direct):
Ag 0.481 0.481 0.962
Sb 0.756 0.256 0.511
Sb 0.013 0.013 0.026
Ca 0.250 0.750 0.501



The following is a SCAN calculation of a crystal of CaAgSb relaxed with PBEsol, from the Alexandria database.

Computed properties:
Space-group type ... No. 62
DFT total energy ... -26.86 eV per atom
Formation energy from raw total energies ... -766 meV/atom
Magnetization ... 0.0 μB/cell
Theoretical density ... 6.24 g/cm³

a b c (Å): 4.554 7.579 8.314
angles (deg): 90.00 90.00 90.00
Positions (direct):
Sb 0.250 0.760 0.114
Sb 0.250 0.260 0.386
Sb 0.750 0.240 0.886
Sb 0.750 0.740 0.614
Ag 0.250 0.643 0.436
Ag 0.750 0.357 0.564
Ag 0.750 0.857 0.936
Ag 0.250 0.143 0.064
Ca 0.750 0.482 0.194
Ca 0.250 0.518 0.806
Ca 0.250 0.018 0.694
Ca 0.750 0.982 0.306



The following is a SCAN calculation of a crystal of CaAgSb2 relaxed with PBEsol, from the Alexandria database.

Computed properties:
Space-group type ... No. 65
DFT total energy ... -29.22 eV per atom
Formation energy from raw total energies ... -333 meV/atom
Magnetization ... 0.0 μB/cell
Theoretical density ... 6.79 g/cm³

a b c (Å): 3.397 5.335 5.335
angles (deg): 98.07 90.00 90.00
Positions (direct):
Sb 0.000 0.500 0.000
Sb 0.000 0.000 0.500
Ag 0.500 0.500 0.500
Ca 0.500 0.000 0.000